# PBE-GGA NiAg2BiBr, relaxed
data_NiAg2BiBr
_chemical_formula_sum 'Ni1 Ag2 Bi1 Br1'
_symmetry_space_group_name_H-M 'P 4/m m m'
_symmetry_Int_Tables_number 123
_symmetry_space_group_name_Hall '-P 4 2'
_cell_length_a 5.1632
_cell_length_b 5.1632
_cell_length_c 4.4230
_cell_angle_alpha 90.00
_cell_angle_beta 90.00
_cell_angle_gamma 90.00
loop_
_atom_site_label
_atom_site_type_symbol
_atom_site_fract_x
_atom_site_fract_y
_atom_site_fract_z
Ni1 Ni 0.0000 0.0000 0.0000
Ag1 Ag 0.0000 0.5000 0.0000
Bi1 Bi 0.5000 0.5000 0.5000
Br1 Br 0.0000 0.0000 0.5000
# * DFT total energy: -2.93 eV per atom
# * spin magnetization: 0.00 μB per cell